No. 1
The following is a DFT calculation (PBE-GGA) of a relaxed PPbBr2 crystal.

**Polymorph energy (0 for the lowest one)**: 0.568 eV/atom
**V**: 107.8 Å³/cell
**DOS at the Fermi energy**: 0.60 states/eV/atom

Cell: 10.304 10.304 10.304 Å, 19.61 19.61 19.61°
Fractional coordinates of all 4 atoms:
Br1 0.901 0.901 0.901
Br2 0.099 0.099 0.099
Pb1 0.000 0.000 0.000
P1 0.500 0.500 0.500

No. 2
The following is a DFT calculation (PBE-GGA) of a relaxed PPbBr2 crystal.

**Polymorph energy (0 for the lowest one)**: 0.077 eV/atom
**V**: 137.6 Å³/cell
**DOS at the Fermi energy**: 0.26 states/eV/atom

Cell: 5.702 4.689 5.452 Å, 70.68 90.00 90.00°
Fractional coordinates of all 4 atoms:
Br1 0.000 0.967 0.876
Br2 0.500 0.282 0.303
P1 0.000 0.618 0.662
Pb1 0.500 0.632 0.659

No. 3
The following is a DFT calculation (PBE-GGA) of a relaxed PPbBr2 crystal.

**Polymorph energy (0 for the lowest one)**: 0.339 eV/atom
**V**: 111.9 Å³/cell
**DOS at the Fermi energy**: 0.38 states/eV/atom

Cell: 3.652 3.652 8.392 Å, 90.00 90.00 90.00°
Fractional coordinates of all 4 atoms:
P1 0.000 0.000 0.494
Pb1 0.500 0.500 0.720
Br1 0.000 0.000 0.944
Br2 0.500 0.500 0.342

No. 4
The following is a DFT calculation (PBE-GGA) of a relaxed PPbBr3 crystal.

**Polymorph energy (0 for the lowest one)**: 0.000 eV/atom
**V**: 143.3 Å³/cell
**DOS at the Fermi energy**: 0.76 states/eV/atom

Cell: 5.233 5.233 5.233 Å, 90.00 90.00 90.00°
Fractional coordinates of all 5 atoms:
P1 0.000 0.000 0.000
Br1 0.000 0.500 0.000
Br2 0.500 0.000 0.000
Br3 0.000 0.000 0.500
Pb1 0.500 0.500 0.500

No. 5
The following is a DFT calculation (PBE-GGA) of a relaxed PPbBr2 crystal.

**Polymorph energy (0 for the lowest one)**: 0.551 eV/atom
**V**: 103.0 Å³/cell
**DOS at the Fermi energy**: 0.59 states/eV/atom

Cell: 9.338 9.338 9.338 Å, 22.33 22.33 22.33°
Fractional coordinates of all 4 atoms:
P1 0.250 0.250 0.250
Br1 0.509 0.509 0.509
Br2 0.991 0.991 0.991
Pb1 0.750 0.750 0.750

No. 6
The following is a DFT calculation (PBE-GGA) of a relaxed P2Pb2Br crystal.

**Final energy**: -4.06 eV per atom
**V**: 134.6 Å³/cell
**DOS at the Fermi energy**: 0.17 states/eV/atom

Cell: 4.066 4.066 8.633 Å, 76.38 76.38 90.00°
Fractional coordinates of all 5 atoms:
Pb1 0.622 0.622 0.755
Pb2 0.378 0.378 0.245
P1 0.250 0.750 0.500
P2 0.750 0.250 0.500
Br1 0.000 0.000 0.000

The highest DOS at the Fermi energy belongs to which entry?
PPbBr3

Which of these has the lowest V?
number 5

What did the second record say?
The following is a DFT calculation (PBE-GGA) of a relaxed PPbBr2 crystal.

**Polymorph energy (0 for the lowest one)**: 0.077 eV/atom
**V**: 137.6 Å³/cell
**DOS at the Fermi energy**: 0.26 states/eV/atom

Cell: 5.702 4.689 5.452 Å, 70.68 90.00 90.00°
Fractional coordinates of all 4 atoms:
Br1 0.000 0.967 0.876
Br2 0.500 0.282 0.303
P1 0.000 0.618 0.662
Pb1 0.500 0.632 0.659

DOS at the Fermi energy of number 3 (PPbBr2)?
0.38 states/eV/atom